## NaMgCd11 (PBE)

Data for crystalline NaMgCd11 at its relaxed geometry.

Cell lengths 5.980, 7.791, 7.792 Å; angles 81.14, 67.43, 66.33 degrees
Positions (direct):
Cd (0.505, 0.215, 0.787)
Cd (0.000, 0.500, 0.000)
Cd (0.987, 0.353, 0.652)
Cd (0.639, 0.353, 0.348)
Cd (0.292, 0.215, 0.213)
Cd (0.361, 0.647, 0.652)
Cd (0.500, 0.000, 0.500)
Cd (0.495, 0.785, 0.213)
Cd (0.013, 0.647, 0.348)
Cd (0.000, 0.000, 0.500)
Cd (0.708, 0.785, 0.787)
Mg (0.500, 0.500, 0.000)
Na (0.000, 0.000, 0.000)

- Calculated formation energy: -0.030 eV per atom
- DOS(E_F): 0.351 states/eV/atom
- Space group: C2/m